Mg5Si6: optimized geometry, PBE.

Unit cell a=4.6388 b=15.4643 c=15.4643 alpha=158.95 beta=90.00 gamma=90.00
With the nearest neighbours (Å) after each atom.
Fractional coordinates of all 22 atoms:
Mg1 0.2500 0.0330 0.7290  5 Si 2.82-2.93, 3 Mg 3.04-3.12
Mg2 0.2500 0.0546 0.9454  6 Si 2.74-3.02, 3 Mg 2.86-3.04
Mg3 0.2500 0.1203 0.3622  5 Si 2.86-3.07, 2 Mg 3.13
Mg4 0.2500 0.5686 0.4267  8 Si 2.85-3.10, 4 Mg 2.86-3.13
Mg5 0.2500 0.5776 0.1877  8 Si 2.80-3.04, 2 Mg 3.10-3.12
Mg6 0.7500 0.1877 0.5776  8 Si 2.80-3.04, 2 Mg 3.10-3.12
Mg7 0.7500 0.3622 0.1203  5 Si 2.86-3.07, 2 Mg 3.13
Mg8 0.7500 0.4267 0.5686  8 Si 2.85-3.10, 4 Mg 2.86-3.13
Mg9 0.7500 0.7290 0.0330  5 Si 2.82-2.93, 3 Mg 3.04-3.12
Mg10 0.7500 0.9454 0.0546  6 Si 2.74-3.02, 3 Mg 2.86-3.04
Si1 0.2500 0.1878 0.6939  4 Si 2.43-2.59
Si2 0.2500 0.2505 0.2946  3 Si 2.45-2.68
Si3 0.2500 0.4697 0.8368  3 Si 2.43-2.66
Si4 0.2500 0.6526 0.8487  2 Si 2.47-2.66
Si5 0.2500 0.6881 0.7224  4 Si 2.45-2.54
Si6 0.2500 0.8375 0.2686  4 Si 2.46-2.59
Si7 0.7500 0.2686 0.8375  4 Si 2.46-2.59
Si8 0.7500 0.2946 0.2505  3 Si 2.45-2.68
Si9 0.7500 0.6939 0.1878  4 Si 2.43-2.59
Si10 0.7500 0.7224 0.6881  4 Si 2.45-2.54
Si11 0.7500 0.8368 0.4697  3 Si 2.43-2.66
Si12 0.7500 0.8487 0.6526  2 Si 2.47-2.66

SG	Ama2
M_tot	0.0	μB/f.u.
raw formation energy	0.109	eV per atom
E above lowest polymorph	84	meV/atom